1.
Sc2BIr: single point on PBEsol structure, meta-GGA SCAN.

Unit cell a=2.9947 b=2.9947 c=8.3263 alpha=79.64 beta=79.64 gamma=60.00
Atoms (fractional coordinates):
Sc 0.1008 0.1008 0.6975
Sc 0.8992 0.8992 0.3025
B 0.5000 0.5000 0.5000
Ir 0.0000 0.0000 0.0000

Summary:
The calculated total energy comes out at -26.6043 eV/atom. The formation energy comes out at 146 meV/atom.

***

2.
ScBIr3: single point on PBEsol structure, meta-GGA SCAN.

Unit cell a=4.1066 b=4.1066 c=4.1066 alpha=90.00 beta=90.00 gamma=90.00
Atoms (fractional coordinates):
Ir 0.0000 0.5000 0.0000
Sc 0.5000 0.5000 0.5000
Ir 0.5000 0.0000 0.0000
B 0.0000 0.0000 0.0000
Ir 0.0000 0.0000 0.5000

Summary:
The calculated total energy comes out at -47.7338 eV/atom. The formation energy comes out at -741 meV/atom.

***

3.
Sc2SiB2Ir5: single point on PBEsol structure, meta-GGA SCAN.

Unit cell a=3.1003 b=9.1540 c=9.1540 alpha=90.00 beta=90.00 gamma=90.00
Atoms (fractional coordinates):
Ir 0.5000 0.7122 0.5701
Ir 0.5000 0.5000 0.0000
B 0.0000 0.8761 0.6239
Ir 0.5000 0.4299 0.7122
Ir 0.5000 0.9299 0.7878
Ir 0.5000 0.0000 0.5000
Ir 0.5000 0.0701 0.2122
B 0.0000 0.3761 0.8761
B 0.0000 0.1239 0.3761
Si 0.0000 0.5000 0.5000
Sc 0.0000 0.3247 0.1753
B 0.0000 0.6239 0.1239
Ir 0.5000 0.7878 0.0701
Sc 0.0000 0.1753 0.6753
Sc 0.0000 0.8247 0.3247
Ir 0.5000 0.2878 0.4299
Sc 0.0000 0.6753 0.8247
Ir 0.5000 0.2122 0.9299
Si 0.0000 0.0000 0.0000
Ir 0.5000 0.5701 0.2878

Summary:
The calculated total energy comes out at -41.9034 eV/atom.

***

4.
SmB2Ir2: single point on PBEsol structure, meta-GGA SCAN.

Unit cell a=5.4946 b=5.4946 c=6.1103 alpha=105.00 beta=105.00 gamma=115.11
Atoms (fractional coordinates):
B 0.4307 0.5693 0.5000
Ir 0.3780 0.8780 0.7560
B 0.1807 0.8193 0.0000
Ir 0.8720 0.8720 0.7440
B 0.0693 0.9307 0.5000
Sm 0.5000 0.5000 0.0000
Ir 0.1280 0.1280 0.2560
Ir 0.1220 0.6220 0.2440
Sm 0.7500 0.2500 0.5000
B 0.8193 0.1807 0.0000

Summary:
The calculated total energy comes out at -41.1927 eV/atom. The formation energy comes out at -893 meV/atom.

***

5.
Sn4B3Ir7: single point on PBEsol structure, meta-GGA SCAN.

Unit cell a=5.6396 b=9.2697 c=9.2697 alpha=120.00 beta=90.00 gamma=90.00
Atoms (fractional coordinates):
Sn 0.2500 0.4973 0.5890
Ir 0.0011 0.7697 0.6452
B 0.7500 0.1725 0.9635
Ir 0.5011 0.6452 0.8755
Ir 0.4989 0.7697 0.6452
Sn 0.2500 0.6667 0.3333
Sn 0.7500 0.9083 0.4973
Ir 0.9989 0.2303 0.3548
Ir 0.0011 0.3548 0.1245
B 0.2500 0.2090 0.1725
Ir 0.9989 0.6452 0.8755
B 0.2500 0.9635 0.7910
Ir 0.5000 0.0000 0.0000
B 0.7500 0.7910 0.8275
B 0.2500 0.8275 0.0365
Ir 0.4989 0.3548 0.1245
Sn 0.7500 0.5027 0.4110
B 0.7500 0.0365 0.2090
Ir 0.0011 0.8755 0.2303
Sn 0.7500 0.3333 0.6667
Ir 0.4989 0.8755 0.2303
Ir 0.9989 0.1245 0.7697
Sn 0.7500 0.5890 0.0917
Sn 0.2500 0.4110 0.9083
Sn 0.2500 0.0917 0.5027
Ir 0.0000 0.0000 0.0000
Ir 0.5011 0.1245 0.7697
Ir 0.5011 0.2303 0.3548

Summary:
The calculated total energy comes out at -47.7129 eV/atom. The formation energy comes out at -308 meV/atom.

***

6.
Ta2B2Ir: single point on PBEsol structure, meta-GGA SCAN.

Unit cell a=3.6287 b=5.7044 c=5.7044 alpha=90.00 beta=90.00 gamma=90.00
Atoms (fractional coordinates):
B 0.0000 0.6162 0.1162
Ta 0.5000 0.6737 0.8263
Ta 0.5000 0.3263 0.1737
B 0.0000 0.8838 0.6162
B 0.0000 0.1162 0.3838
Ta 0.5000 0.8263 0.3263
B 0.0000 0.3838 0.8838
Ir 0.0000 0.5000 0.5000
Ir 0.0000 0.0000 0.0000
Ta 0.5000 0.1737 0.6737

Summary:
The calculated total energy comes out at -44.5897 eV/atom. The formation energy comes out at -765 meV/atom.

***

7.
TbB2Ir3: single point on PBEsol structure, meta-GGA SCAN.

Unit cell a=3.1326 b=5.4123 c=5.4123 alpha=120.00 beta=90.00 gamma=90.00
Atoms (fractional coordinates):
B 0.5000 0.3333 0.6667
Tb 0.5000 0.0000 0.0000
Ir 0.0000 0.5000 0.0000
Ir 0.0000 0.0000 0.5000
B 0.5000 0.6667 0.3333
Ir 0.0000 0.5000 0.5000

Summary:
The calculated total energy comes out at -46.6435 eV/atom. The formation energy comes out at -824 meV/atom.

***

8.
TbB4Ir4: single point on PBEsol structure, meta-GGA SCAN.

Unit cell a=3.9685 b=7.5601 c=7.5601 alpha=90.00 beta=90.00 gamma=90.00
Atoms (fractional coordinates):
B 0.3886 0.2215 0.3425
Tb 0.0000 0.5000 0.5000
B 0.8886 0.1575 0.7215
B 0.8886 0.8425 0.2785
Ir 0.1128 0.3419 0.8895
B 0.6114 0.6575 0.2215
Ir 0.8872 0.1105 0.3419
Ir 0.6128 0.3895 0.1581
Tb 0.5000 0.0000 0.0000
B 0.1114 0.7215 0.8425
Ir 0.1128 0.6581 0.1105
B 0.6114 0.3425 0.7785
B 0.3886 0.7785 0.6575
Ir 0.3872 0.8419 0.3895
Ir 0.8872 0.8895 0.6581
Ir 0.3872 0.1581 0.6105
B 0.1114 0.2785 0.1575
Ir 0.6128 0.6105 0.8419

Summary:
The calculated total energy comes out at -40.7455 eV/atom. The formation energy comes out at -648 meV/atom.

***

9.
TbB2Ir2: single point on PBEsol structure, meta-GGA SCAN.

Unit cell a=5.4339 b=5.4339 c=6.1494 alpha=104.27 beta=104.27 gamma=116.23
Atoms (fractional coordinates):
Ir 0.3764 0.8764 0.7528
B 0.4311 0.5689 0.5000
Ir 0.1264 0.1264 0.2528
B 0.8189 0.1811 0.0000
Tb 0.7500 0.2500 0.5000
Ir 0.1236 0.6236 0.2472
Ir 0.8736 0.8736 0.7472
B 0.0689 0.9311 0.5000
B 0.1811 0.8189 0.0000
Tb 0.5000 0.5000 0.0000

Summary:
The calculated total energy comes out at -41.6589 eV/atom. The formation energy comes out at -895 meV/atom.

***

10.
TcB2Ir: single point on PBEsol structure, meta-GGA SCAN.

Unit cell a=3.8246 b=3.8246 c=3.8246 alpha=60.00 beta=60.00 gamma=60.00
Atoms (fractional coordinates):
Tc 0.0000 0.0000 0.0000
B 0.7500 0.7500 0.7500
Ir 0.5000 0.5000 0.5000
B 0.2500 0.2500 0.2500

Summary:
The calculated total energy comes out at -30.1606 eV/atom. The formation energy comes out at 94 meV/atom.

***

11.
B3TeIr: single point on PBEsol structure, meta-GGA SCAN.

Unit cell a=4.2720 b=4.2720 c=4.2720 alpha=90.00 beta=90.00 gamma=90.00
Atoms (fractional coordinates):
B 0.0000 0.5000 0.0000
Te 0.0000 0.0000 0.0000
B 0.5000 0.0000 0.0000
Ir 0.5000 0.5000 0.5000
B 0.0000 0.0000 0.5000

Summary:
The calculated total energy comes out at -23.3072 eV/atom.

***

12.
ThB2Ir3: single point on PBEsol structure, meta-GGA SCAN.

Unit cell a=3.2328 b=5.4271 c=5.4271 alpha=120.00 beta=90.00 gamma=90.00
Atoms (fractional coordinates):
B 0.0000 0.3333 0.6667
Ir 0.5000 0.5000 0.5000
Ir 0.5000 0.5000 0.0000
Ir 0.5000 0.0000 0.5000
B 0.0000 0.6667 0.3333
Th 0.0000 0.0000 0.0000

Summary:
The calculated total energy comes out at -54.7984 eV/atom. The formation energy comes out at -786 meV/atom.

***

13.
Ti2B2Ir: single point on PBEsol structure, meta-GGA SCAN.

Unit cell a=3.3518 b=5.7026 c=5.7026 alpha=90.00 beta=90.00 gamma=90.00
Atoms (fractional coordinates):
Ir 0.0000 0.5000 0.5000
Ti 0.5000 0.3255 0.1745
Ti 0.5000 0.6745 0.8255
Ir 0.0000 0.0000 0.0000
Ti 0.5000 0.1745 0.6745
Ti 0.5000 0.8255 0.3255
B 0.0000 0.6129 0.1129
B 0.0000 0.1129 0.3871
B 0.0000 0.8871 0.6129
B 0.0000 0.3871 0.8871

Summary:
The calculated total energy comes out at -24.6729 eV/atom. The formation energy comes out at -1069 meV/atom.

***

14.
TlBIr3: single point on PBEsol structure, meta-GGA SCAN.

Unit cell a=4.1624 b=4.1624 c=4.1624 alpha=90.00 beta=90.00 gamma=90.00
Atoms (fractional coordinates):
Ir 0.0000 0.0000 0.5000
Tl 0.5000 0.5000 0.5000
Ir 0.5000 0.0000 0.0000
Ir 0.0000 0.5000 0.0000
B 0.0000 0.0000 0.0000

Summary:
The calculated total energy comes out at -58.3457 eV/atom. The formation energy comes out at 271 meV/atom.

***

15.
TlBIr2: single point on PBEsol structure, meta-GGA SCAN.

Unit cell a=5.4092 b=5.4092 c=5.4092 alpha=104.53 beta=104.53 gamma=119.89
Atoms (fractional coordinates):
B 0.5000 0.5000 0.0000
Ir 0.4700 0.8750 0.0950
Ir 0.7800 0.3750 0.9050
Tl 0.2500 0.7500 0.5000
Ir 0.1250 0.2200 0.5950
Ir 0.6250 0.5300 0.4050
Tl 0.0000 0.0000 0.0000
B 0.7500 0.2500 0.5000

Summary:
The calculated total energy comes out at -55.2328 eV/atom. The formation energy comes out at 264 meV/atom.

***

16.
TmB4Ir4: single point on PBEsol structure, meta-GGA SCAN.

Unit cell a=5.3466 b=5.3466 c=7.3793 alpha=90.00 beta=90.00 gamma=90.00
Atoms (fractional coordinates):
Ir 0.7511 0.0000 0.6446
B 0.3272 0.0000 0.3471
Ir 0.2489 0.0000 0.6446
B 0.5000 0.1728 0.8471
B 0.6728 0.0000 0.3471
B 0.1728 0.5000 0.1529
Ir 0.5000 0.7489 0.1446
Tm 0.0000 0.0000 0.0000
Ir 0.7489 0.5000 0.8554
Ir 0.0000 0.7511 0.3554
Tm 0.5000 0.5000 0.5000
B 0.0000 0.3272 0.6529
Ir 0.5000 0.2511 0.1446
Ir 0.2511 0.5000 0.8554
B 0.8272 0.5000 0.1529
B 0.5000 0.8272 0.8471
Ir 0.0000 0.2489 0.3554
B 0.0000 0.6728 0.6529

Summary:
The calculated total energy comes out at -41.2480 eV/atom. The formation energy comes out at -587 meV/atom.

***

17.
BIrW3: single point on PBEsol structure, meta-GGA SCAN.

Unit cell a=4.6875 b=4.6875 c=4.6875 alpha=90.00 beta=90.00 gamma=90.00
Atoms (fractional coordinates):
B 0.5000 0.5000 0.5000
W 0.0000 0.0000 0.5000
W 0.5000 0.0000 0.0000
Ir 0.0000 0.0000 0.0000
W 0.0000 0.5000 0.0000

Summary:
The calculated total energy comes out at -54.6052 eV/atom. The formation energy comes out at 2913 meV/atom.

***

18.
B2IrW2: single point on PBEsol structure, meta-GGA SCAN.

Unit cell a=3.6883 b=5.5153 c=5.5153 alpha=90.00 beta=90.00 gamma=90.00
Atoms (fractional coordinates):
W 0.5000 0.1694 0.6694
Ir 0.0000 0.5000 0.5000
B 0.0000 0.3844 0.8844
W 0.5000 0.6694 0.8306
B 0.0000 0.1156 0.3844
W 0.5000 0.8306 0.3306
Ir 0.0000 0.0000 0.0000
B 0.0000 0.8844 0.6156
W 0.5000 0.3306 0.1694
B 0.0000 0.6156 0.1156

Summary:
The calculated total energy comes out at -45.3745 eV/atom. The formation energy comes out at -308 meV/atom.

***

19.
Y2BIr: single point on PBEsol structure, meta-GGA SCAN.

Unit cell a=5.9587 b=5.9587 c=5.9587 alpha=108.18 beta=108.18 gamma=112.08
Atoms (fractional coordinates):
Y 0.3967 0.3750 0.5217
B 0.7500 0.2500 0.5000
Y 0.8533 0.8750 0.4783
Ir 0.0000 0.0000 0.0000
Y 0.1250 0.6033 0.9783
Ir 0.2500 0.7500 0.5000
B 0.5000 0.5000 0.0000
Y 0.6250 0.1467 0.0217

Summary:
The calculated total energy comes out at -33.4256 eV/atom. The formation energy comes out at 128 meV/atom.

***

20.
YB2Ir: single point on PBEsol structure, meta-GGA SCAN.

Unit cell a=4.0990 b=4.0990 c=4.0990 alpha=60.00 beta=60.00 gamma=60.00
Atoms (fractional coordinates):
B 0.2500 0.2500 0.2500
Ir 0.5000 0.5000 0.5000
Y 0.0000 0.0000 0.0000
B 0.7500 0.7500 0.7500

Summary:
The calculated total energy comes out at -28.4401 eV/atom. The formation energy comes out at 10 meV/atom.

***

21.
Zn6B5Ir11: single point on PBEsol structure, meta-GGA SCAN.

Unit cell a=2.8616 b=8.3944 c=11.2883 alpha=90.00 beta=90.00 gamma=90.00
Atoms (fractional coordinates):
Ir 0.0000 0.8237 0.6412
Ir 0.0000 0.4994 0.6799
Zn 0.5000 0.9874 0.1994
Ir 0.0000 0.7267 0.8801
Ir 0.0000 0.7267 0.1199
Zn 0.5000 0.9874 0.8006
B 0.5000 0.6841 0.7436
Ir 0.0000 0.8237 0.3588
Zn 0.5000 0.0010 0.5000
Ir 0.0000 0.0002 0.0000
Zn 0.5000 0.5176 0.0000
Ir 0.0000 0.2995 0.8797
Ir 0.0000 0.1656 0.6512
Ir 0.0000 0.2995 0.1203
B 0.5000 0.3171 0.2658
Zn 0.5000 0.6414 0.5000
B 0.5000 0.1827 0.0000
Ir 0.0000 0.4994 0.3201
B 0.5000 0.3171 0.7342
Zn 0.5000 0.3417 0.5000
B 0.5000 0.6841 0.2564
Ir 0.0000 0.1656 0.3488

Summary:
The calculated total energy comes out at -41.2394 eV/atom. The formation energy comes out at -315 meV/atom.

***

22.
ZnB2Ir2: single point on PBEsol structure, meta-GGA SCAN.

Unit cell a=2.9610 b=2.9610 c=6.6152 alpha=102.93 beta=102.93 gamma=90.00
Atoms (fractional coordinates):
B 0.7500 0.2500 0.5000
Zn 0.0000 0.0000 0.0000
B 0.2500 0.7500 0.5000
Ir 0.6261 0.6261 0.2523
Ir 0.3739 0.3739 0.7477

Summary:
The calculated total energy comes out at -34.4910 eV/atom. The formation energy comes out at -377 meV/atom.